Record 1
A plane-wave DFT calculation with PBE was carried out for a relaxed structure of DyPaIr2.

abc: 3.9373 3.9373 7.1325
angles: 73.98 73.98 60.00
With the nearest neighbours (Å) after each atom.
Sites, in units of the cell vectors:
Ir 0.7447 0.7447 0.7658  3 Pa 2.77, 3 Dy 2.90
Pa 0.0000 0.0000 0.0000  6 Ir 2.77
Dy 0.5000 0.5000 0.5000  6 Ir 2.90
Ir 0.2553 0.2553 0.2342  3 Pa 2.77, 3 Dy 2.90

Summary:
For the energy above the most stable polymorph in this dataset, the calculation gives 2.51 kcal/mol of atoms. The uncorrected energy is -8.78 eV per atom. Its formation energy is -3.29 eV per formula unit.

---

Record 2
A plane-wave DFT calculation with PBE was carried out for a relaxed structure of DyPaIr2.

abc: 5.5807 5.7404 11.1310
angles: 91.05 90.00 90.00
With the nearest neighbours (Å) after each atom.
Sites, in units of the cell vectors:
Dy 0.2500 0.0449 0.3917  6 Ir 2.87-2.97
Ir 0.7501 0.5512 0.1563  3 Pa 2.67-2.93, 3 Dy 2.89-2.94
Pa 0.7500 0.4468 0.3891  6 Ir 2.66-2.93
Dy 0.7500 0.5449 0.8917  6 Ir 2.87-2.97
Pa 0.2500 0.9468 0.8891  6 Ir 2.66-2.93
Dy 0.7500 0.9551 0.6083  6 Ir 2.87-2.97
Ir 0.2499 0.0512 0.6563  3 Pa 2.67-2.93, 3 Dy 2.89-2.94
Ir 0.7501 0.0424 0.8722  3 Pa 2.66-2.85, 3 Dy 2.87-2.97
Pa 0.2500 0.5532 0.6109  6 Ir 2.66-2.93
Ir 0.2499 0.5424 0.3722  3 Pa 2.66-2.85, 3 Dy 2.87-2.97
Ir 0.2499 0.9576 0.1278  3 Pa 2.66-2.85, 3 Dy 2.87-2.97
Ir 0.7501 0.4576 0.6278  3 Pa 2.66-2.85, 3 Dy 2.87-2.97
Ir 0.2499 0.4488 0.8437  3 Pa 2.67-2.93, 3 Dy 2.89-2.94
Ir 0.7501 0.9488 0.3437  3 Pa 2.67-2.93, 3 Dy 2.89-2.94
Dy 0.2500 0.4551 0.1083  6 Ir 2.87-2.97
Pa 0.7500 0.0532 0.1109  6 Ir 2.66-2.93

Summary:
For the energy above the most stable polymorph in this dataset, the calculation gives 2.87 kcal/mol of atoms. The uncorrected energy is -8.76 eV per atom. Its formation energy is -3.23 eV per formula unit.

---

Record 3
A plane-wave DFT calculation with PBE was carried out for a relaxed structure of Dy3PaIr3.

abc: 7.5252 7.5252 7.5252
angles: 66.76 66.76 66.76
With the nearest neighbours (Å) after each atom.
Sites, in units of the cell vectors:
Ir 0.3104 0.9497 0.5604  2 Pa 2.71-2.91, 5 Dy 2.84-3.00, 1 Ir 2.94
Ir 0.6896 0.0503 0.4396  2 Pa 2.71-2.91, 5 Dy 2.84-3.00, 1 Ir 2.94
Ir 0.0503 0.4396 0.6896  2 Pa 2.71-2.91, 5 Dy 2.84-3.00, 1 Ir 2.94
Dy 0.1788 0.6256 0.8782  5 Ir 2.84-3.00
Dy 0.6256 0.8782 0.1788  5 Ir 2.84-3.00
Pa 0.3266 0.3266 0.3266  6 Ir 2.71-2.91
Ir 0.9497 0.5604 0.3104  2 Pa 2.71-2.91, 5 Dy 2.84-3.00, 1 Ir 2.94
Ir 0.5604 0.3104 0.9497  2 Pa 2.71-2.91, 5 Dy 2.84-3.00, 1 Ir 2.94
Dy 0.8782 0.1788 0.6256  5 Ir 2.84-3.00
Pa 0.6734 0.6734 0.6734  6 Ir 2.71-2.91
Dy 0.3744 0.1218 0.8212  5 Ir 2.84-3.00
Dy 0.8212 0.3744 0.1218  5 Ir 2.84-3.00
Dy 0.1218 0.8212 0.3744  5 Ir 2.84-3.00
Ir 0.4396 0.6896 0.0503  2 Pa 2.71-2.91, 5 Dy 2.84-3.00, 1 Ir 2.94

Summary:
The uncorrected energy is -7.90 eV per atom. Its formation energy is -5.43 eV per formula unit.

---

Record 4
A plane-wave DFT calculation with PBE was carried out for a relaxed structure of DyPa3Ir2.

abc: 4.6777 8.9393 7.6750
angles: 118.23 90.00 105.17
With the nearest neighbours (Å) after each atom.
Sites, in units of the cell vectors:
Pa 0.6232 0.2465 0.7098  4 Ir 2.83-3.02, 3 Pa 2.94-3.03
Ir 0.5131 0.0262 0.1865  1 Ir 2.67, 4 Pa 2.73-2.83
Pa 0.6933 0.3867 0.4293  2 Ir 2.73-2.83, 3 Pa 2.90-2.94
Pa 0.0606 0.1213 0.4227  2 Ir 2.82, 3 Pa 2.87-3.03
Pa 0.3067 0.6133 0.5707  2 Ir 2.73-2.83, 3 Pa 2.90-2.94
Pa 0.9394 0.8787 0.5773  2 Ir 2.82, 3 Pa 2.87-3.03
Dy 0.8773 0.7546 0.9477  7 Ir 3.11-3.47, 3 Pa 3.45-3.46
Ir 0.2438 0.4875 0.8493  4 Pa 2.83-3.02, 3 Dy 3.11-3.16
Ir 0.7562 0.5125 0.1507  4 Pa 2.83-3.02, 3 Dy 3.11-3.16
Ir 0.4869 0.9738 0.8135  1 Ir 2.67, 4 Pa 2.73-2.83
Pa 0.3767 0.7535 0.2902  4 Ir 2.83-3.02, 3 Pa 2.94-3.03
Dy 0.1227 0.2454 0.0523  7 Ir 3.11-3.47, 3 Pa 3.45-3.46

Summary:
The uncorrected energy is -8.94 eV per atom. Its formation energy is -2.85 eV per formula unit.

---

Record 5
A plane-wave DFT calculation with PBE was carried out for a relaxed structure of DyPaIr2.

abc: 4.0832 5.9193 7.6662
angles: 110.62 90.00 90.00
With the nearest neighbours (Å) after each atom.
Sites, in units of the cell vectors:
Pa 0.7500 0.7165 0.4299  6 Ir 2.76-3.04
Ir 0.7500 0.2067 0.3116  3 Pa 2.77-2.83, 2 Dy 2.92, 2 Ir 2.95
Dy 0.7500 0.7211 0.9365  6 Ir 2.92-3.27
Dy 0.2500 0.2789 0.0635  6 Ir 2.92-3.27
Pa 0.2500 0.2835 0.5701  6 Ir 2.76-3.04
Ir 0.2500 0.7933 0.6884  3 Pa 2.77-2.83, 2 Dy 2.92, 2 Ir 2.95
Ir 0.7500 0.1761 0.7707  3 Pa 2.76-3.04, 3 Dy 2.94-3.02, 2 Ir 2.95
Ir 0.2500 0.8239 0.2293  3 Pa 2.76-3.04, 3 Dy 2.94-3.02, 2 Ir 2.95

Summary:
For the energy above the most stable polymorph in this dataset, the calculation gives 0.00 kcal/mol of atoms. The uncorrected energy is -8.89 eV per atom. Its formation energy is -3.73 eV per formula unit.

---

Record 6
A plane-wave DFT calculation with PBE was carried out for a relaxed structure of DyPaIr2.

abc: 4.8826 4.8826 4.8826
angles: 60.00 60.00 60.00
With the nearest neighbours (Å) after each atom.
Sites, in units of the cell vectors:
Ir 0.7500 0.7500 0.7500  4 Pa 2.99, 4 Dy 2.99
Dy 0.5000 0.5000 0.5000  8 Ir 2.99
Pa 0.0000 0.0000 0.0000  8 Ir 2.99
Ir 0.2500 0.2500 0.2500  4 Dy 2.99, 4 Pa 2.99

Summary:
For the energy above the most stable polymorph in this dataset, the calculation gives 5.19 kcal/mol of atoms. The uncorrected energy is -8.66 eV per atom. Its formation energy is -2.83 eV per formula unit.